1.
First-principles (PBE) data for crystalline In5Ni at its relaxed geometry, as listed in Alexandria.

Values from the calculation:
Fermi-level density of states: 7.01 states/eV/f.u.
space group: P6/mmm (191)
ΔH_f (0 K): 0.534 eV/atom
spin magnetization: 0.4 μB per cell

Geometry as CIF:
```
data_In5Ni
_space_group_name_H-M_alt 'P 1'
_space_group_IT_number 1
_cell_length_a 5.7434
_cell_length_b 5.7434
_cell_length_c 5.8465
_cell_angle_alpha 90.00
_cell_angle_beta 90.00
_cell_angle_gamma 120.00
loop_
_space_group_symop_operation_xyz
'x,y,z'
loop_
_atom_site_label
_atom_site_fract_x
_atom_site_fract_y
_atom_site_fract_z
_atom_site_occupancy
In1 0.0000 0.5000 0.0000 1
In2 0.3333 0.6667 0.5000 1
In3 0.5000 0.0000 0.0000 1
In4 0.5000 0.5000 0.0000 1
In5 0.6667 0.3333 0.5000 1
Ni1 0.0000 0.0000 0.5000 1
```



2.
First-principles (PBE) data for crystalline In2Ni at its relaxed geometry, as listed in Alexandria.

Values from the calculation:
Fermi-level density of states: 1.29 states/eV/f.u.
space group: Cmmm (65)
ΔH_f (0 K): -0.024 eV/atom
spin magnetization: 0.0 μB per cell

Geometry as CIF:
```
data_In2Ni
_space_group_name_H-M_alt 'P 1'
_space_group_IT_number 1
_cell_length_a 6.2292
_cell_length_b 6.2292
_cell_length_c 3.2661
_cell_angle_alpha 90.00
_cell_angle_beta 90.00
_cell_angle_gamma 152.36
loop_
_space_group_symop_operation_xyz
'x,y,z'
loop_
_atom_site_label
_atom_site_fract_x
_atom_site_fract_y
_atom_site_fract_z
_atom_site_occupancy
In1 0.1345 0.8655 0.0000 1
In2 0.8655 0.1345 0.0000 1
Ni1 0.5000 0.5000 0.5000 1
```



3.
First-principles (PBE) data for crystalline In5Ni at its relaxed geometry, as listed in Alexandria.

Values from the calculation:
Fermi-level density of states: 2.22 states/eV/f.u.
space group: Pmma (51)
ΔH_f (0 K): -0.023 eV/atom
spin magnetization: 0.0 μB per cell

Geometry as CIF:
```
data_In5Ni
_space_group_name_H-M_alt 'P 1'
_space_group_IT_number 1
_cell_length_a 8.8965
_cell_length_b 4.2735
_cell_length_c 7.3412
_cell_angle_alpha 90.00
_cell_angle_beta 90.00
_cell_angle_gamma 90.00
loop_
_space_group_symop_operation_xyz
'x,y,z'
loop_
_atom_site_label
_atom_site_fract_x
_atom_site_fract_y
_atom_site_fract_z
_atom_site_occupancy
In1 0.0000 0.0000 0.0000 1
In2 0.0682 0.5000 0.3105 1
In3 0.2500 0.0000 0.5671 1
In4 0.2500 0.5000 0.9018 1
In5 0.4318 0.5000 0.3105 1
In6 0.5000 0.0000 0.0000 1
In7 0.5682 0.5000 0.6895 1
In8 0.7500 0.0000 0.4329 1
In9 0.7500 0.5000 0.0982 1
In10 0.9318 0.5000 0.6895 1
Ni1 0.2500 0.0000 0.1939 1
Ni2 0.7500 0.0000 0.8061 1
```



4.
First-principles (PBE) data for crystalline InNi2 at its relaxed geometry, as listed in Alexandria.

Values from the calculation:
Fermi-level density of states: 4.58 states/eV/f.u.
space group: C2/m (12)
ΔH_f (0 K): 0.265 eV/atom
spin magnetization: 0.4 μB per cell

Geometry as CIF:
```
data_InNi2
_space_group_name_H-M_alt 'P 1'
_space_group_IT_number 1
_cell_length_a 2.9308
_cell_length_b 2.9308
_cell_length_c 6.1825
_cell_angle_alpha 103.85
_cell_angle_beta 103.85
_cell_angle_gamma 60.31
loop_
_space_group_symop_operation_xyz
'x,y,z'
loop_
_atom_site_label
_atom_site_fract_x
_atom_site_fract_y
_atom_site_fract_z
_atom_site_occupancy
In1 0.0000 0.0000 0.0000 1
Ni1 0.2182 0.2182 0.6518 1
Ni2 0.7818 0.7818 0.3482 1
```



5.
First-principles (PBE) data for crystalline InNi4 at its relaxed geometry, as listed in Alexandria.

Values from the calculation:
Fermi-level density of states: 8.98 states/eV/f.u.
space group: I4/mmm (139)
ΔH_f (0 K): 0.180 eV/atom
spin magnetization: 1.6 μB per cell

Geometry as CIF:
```
data_InNi4
_space_group_name_H-M_alt 'P 1'
_space_group_IT_number 1
_cell_length_a 6.2435
_cell_length_b 6.2435
_cell_length_c 6.2435
_cell_angle_alpha 147.98
_cell_angle_beta 147.98
_cell_angle_gamma 45.92
loop_
_space_group_symop_operation_xyz
'x,y,z'
loop_
_atom_site_label
_atom_site_fract_x
_atom_site_fract_y
_atom_site_fract_z
_atom_site_occupancy
In1 0.0000 0.0000 0.0000 1
Ni1 0.2500 0.7500 0.5000 1
Ni2 0.3963 0.3963 0.0000 1
Ni3 0.6037 0.6037 0.0000 1
Ni4 0.7500 0.2500 0.5000 1
```



6.
First-principles (PBE) data for crystalline InNi3 at its relaxed geometry, as listed in Alexandria.

Values from the calculation:
Fermi-level density of states: 6.82 states/eV/f.u.
space group: I4/mmm (139)
ΔH_f (0 K): -0.042 eV/atom
spin magnetization: 0.2 μB per cell

Geometry as CIF:
```
data_InNi3
_space_group_name_H-M_alt 'P 1'
_space_group_IT_number 1
_cell_length_a 4.4817
_cell_length_b 4.4817
_cell_length_c 4.4817
_cell_angle_alpha 129.45
_cell_angle_beta 129.45
_cell_angle_gamma 74.29
loop_
_space_group_symop_operation_xyz
'x,y,z'
loop_
_atom_site_label
_atom_site_fract_x
_atom_site_fract_y
_atom_site_fract_z
_atom_site_occupancy
In1 0.0000 0.0000 0.0000 1
Ni1 0.2500 0.7500 0.5000 1
Ni2 0.5000 0.5000 0.0000 1
Ni3 0.7500 0.2500 0.5000 1
```



7.
First-principles (PBE) data for crystalline InNi6 at its relaxed geometry, as listed in Alexandria.

Values from the calculation:
Fermi-level density of states: 8.55 states/eV/f.u.
space group: Im-3m (229)
ΔH_f (0 K): 0.839 eV/atom
spin magnetization: 4.5 μB per cell

Geometry as CIF:
```
data_InNi6
_space_group_name_H-M_alt 'P 1'
_space_group_IT_number 1
_cell_length_a 5.3895
_cell_length_b 5.3895
_cell_length_c 5.3895
_cell_angle_alpha 109.47
_cell_angle_beta 109.47
_cell_angle_gamma 109.47
loop_
_space_group_symop_operation_xyz
'x,y,z'
loop_
_atom_site_label
_atom_site_fract_x
_atom_site_fract_y
_atom_site_fract_z
_atom_site_occupancy
In1 0.0000 0.0000 0.0000 1
Ni1 0.2500 0.5000 0.7500 1
Ni2 0.2500 0.7500 0.5000 1
Ni3 0.5000 0.2500 0.7500 1
Ni4 0.5000 0.7500 0.2500 1
Ni5 0.7500 0.2500 0.5000 1
Ni6 0.7500 0.5000 0.2500 1
```



8.
First-principles (PBE) data for crystalline In2Ni at its relaxed geometry, as listed in Alexandria.

Values from the calculation:
Fermi-level density of states: 1.76 states/eV/f.u.
space group: I4/mmm (139)
ΔH_f (0 K): 0.037 eV/atom
spin magnetization: 0.0 μB per cell

Geometry as CIF:
```
data_In2Ni
_space_group_name_H-M_alt 'P 1'
_space_group_IT_number 1
_cell_length_a 6.3047
_cell_length_b 6.3047
_cell_length_c 6.3047
_cell_angle_alpha 150.98
_cell_angle_beta 150.98
_cell_angle_gamma 41.50
loop_
_space_group_symop_operation_xyz
'x,y,z'
loop_
_atom_site_label
_atom_site_fract_x
_atom_site_fract_y
_atom_site_fract_z
_atom_site_occupancy
In1 0.1371 0.1371 0.0000 1
In2 0.8629 0.8629 0.0000 1
Ni1 0.5000 0.5000 0.0000 1
```